[1]
ScRe2Br, relaxed, DFT PBE-GGA; energy above the most stable polymorph in this dataset = 1.715 eV/f.u.; calculated total energy = -7.874 eV/atom; spin magnetization = 0.00 μB per formula unit; V = 19.925 Å³/atom
1.0
4.649 -1.707 0.000
4.649 1.707 0.000
-1.573 0.000 5.020
Sc Re Br
1 2 1
direct
0.000 0.000 0.000 Sc
0.133 0.133 0.587 Re
0.448 0.448 0.479 Re
0.740 0.740 0.087 Br

[2]
Ba2Ge2Bi, relaxed, DFT PBE-GGA; energy above the most stable polymorph in this dataset = 0.264 eV/f.u.; calculated total energy = -3.975 eV/atom; spin magnetization = 0.00 μB per formula unit; V = 33.085 Å³/atom
1.0
8.145 0.000 0.000
0.000 8.145 0.000
0.000 0.000 4.987
Ba Ge Bi
4 4 2
direct
0.181 0.319 0.000 Ba
0.319 0.819 0.000 Ba
0.681 0.181 0.000 Ba
0.819 0.681 0.000 Ba
0.111 0.611 0.500 Ge
0.389 0.111 0.500 Ge
0.611 0.889 0.500 Ge
0.889 0.389 0.500 Ge
0.000 0.000 0.500 Bi
0.500 0.500 0.500 Bi

[3]
ScBe6Os2, relaxed, DFT PBE-GGA; calculated total energy = -5.832 eV/atom; spin magnetization = 0.00 μB per formula unit; V = 11.537 Å³/atom
1.0
-1.575 3.102 5.312
1.575 -3.102 5.312
1.575 3.102 -5.312
Sc Be Os
1 6 2
direct
0.000 0.000 0.000 Sc
0.032 0.314 0.719 Be
0.339 0.500 0.839 Be
0.405 0.686 0.719 Be
0.595 0.314 0.281 Be
0.661 0.500 0.161 Be
0.968 0.686 0.281 Be
0.365 0.865 0.500 Os
0.635 0.135 0.500 Os

[4]
Rb2BaBiCl8, relaxed, DFT PBE-GGA; calculated total energy = -3.421 eV/atom; spin magnetization = 0.31 μB per formula unit; V = 35.550 Å³/atom
1.0
5.856 0.000 0.000
0.000 9.573 0.000
-1.459 0.000 7.611
Rb Ba Bi Cl
2 1 1 8
direct
0.000 0.243 0.000 Rb
0.000 0.757 0.000 Rb
0.500 0.500 0.500 Ba
0.500 0.000 0.500 Bi
0.011 0.500 0.270 Cl
0.083 0.000 0.303 Cl
0.421 0.212 0.712 Cl
0.421 0.788 0.712 Cl
0.579 0.212 0.288 Cl
0.579 0.788 0.288 Cl
0.917 0.000 0.697 Cl
0.989 0.500 0.730 Cl